Entry from Alexandria via LeMat-Bulk: Ho3MgS6 after structural relaxation (GGA-PBE).

formation energy from raw total energies = -1724 meV/atom
energy = -5.73 eV per atom

a b c (Å): 8.3204 8.3204 6.6970
angles (deg): 90.00 90.00 100.29
Positions (direct):
Ho: 0.1000 0.9000 0.5000
Ho: 0.2187 0.4203 0.4119
Ho: 0.4203 0.2187 0.9119
Ho: 0.5797 0.7813 0.4119
Ho: 0.7813 0.5797 0.9119
Ho: 0.9000 0.1000 0.0000
Mg: 0.3008 0.6992 0.8888
Mg: 0.6992 0.3008 0.3888
S: 0.0564 0.5985 0.6884
S: 0.1306 0.1973 0.7087
S: 0.1973 0.1306 0.2087
S: 0.2739 0.7261 0.2485
S: 0.4015 0.9436 0.6884
S: 0.4688 0.5312 0.7034
S: 0.5312 0.4688 0.2034
S: 0.5985 0.0564 0.1884
S: 0.7261 0.2739 0.7485
S: 0.8027 0.8694 0.7087
S: 0.8694 0.8027 0.2087
S: 0.9436 0.4015 0.1884